First-principles (PBE) data for crystalline LiPu2GeO8 at its relaxed geometry, as listed in Alexandria.

a b c (Å): 4.681 4.681 6.772
angles (deg): 90.00 90.00 90.46
Positions (direct):
Li (0.000, 0.000, 0.000)
Pu (0.500, 0.500, 0.250)
Pu (0.500, 0.500, 0.750)
Ge (0.000, 0.000, 0.500)
O (0.193, 0.193, 0.281)
O (0.193, 0.193, 0.719)
O (0.289, 0.711, 0.500)
O (0.311, 0.689, 0.000)
O (0.689, 0.311, 0.000)
O (0.711, 0.289, 0.500)
O (0.807, 0.807, 0.281)
O (0.807, 0.807, 0.719)

Results
Mass density (g/cm³): 7.78
Space-group type: Cmmm (65)
E_form (uncorrected) (eV/atom): -2.231
Density of states at the Fermi level (states/eV per cell): 6.5
Crystal system: orthorhombic
V (Å³ per cell): 148

First-principles (PBE) data for crystalline Na3AlAu at its relaxed geometry, as listed in Alexandria.

a b c (Å): 5.512 5.512 5.512
angles (deg): 90.00 90.00 90.00
Positions (direct):
Na (0.000, 0.000, 0.500)
Na (0.000, 0.500, 0.000)
Na (0.500, 0.000, 0.000)
Al (0.500, 0.500, 0.500)
Au (0.000, 0.000, 0.000)

Results
Polymorph energy (0 for the lowest one) (meV/atom): 0
Mass density (g/cm³): 2.91
Space-group type: Pm-3m (221)
Density of states at the Fermi level (states/eV per cell): 2.4
Energy relative to the elements (eV per atom): 0.2364
Crystal system: cubic
V (Å³ per cell): 167

First-principles (PBE) data for crystalline LiSn2P at its relaxed geometry, as listed in Alexandria.

a b c (Å): 7.685 7.685 6.270
angles (deg): 90.00 90.00 90.00
Positions (direct):
Li (0.000, 0.000, 0.000)
Li (0.000, 0.500, 0.250)
Li (0.500, 0.000, 0.750)
Li (0.500, 0.500, 0.500)
Sn (0.220, 0.250, 0.625)
Sn (0.250, 0.720, 0.875)
Sn (0.250, 0.780, 0.375)
Sn (0.280, 0.250, 0.125)
Sn (0.720, 0.750, 0.125)
Sn (0.750, 0.220, 0.375)
Sn (0.750, 0.280, 0.875)
Sn (0.780, 0.750, 0.625)
P (0.000, 0.000, 0.500)
P (0.000, 0.500, 0.750)
P (0.500, 0.000, 0.250)
P (0.500, 0.500, 0.000)

Results
Mass density (g/cm³): 4.94
Space-group type: I-42d (122)
Density of states at the Fermi level (states/eV per cell): 5.7
Energy relative to the elements (eV per atom): -0.0783
Crystal system: tetragonal
V (Å³ per cell): 370

First-principles (PBE) data for crystalline Li2CaBi2 at its relaxed geometry, as listed in Alexandria.

a b c (Å): 8.392 8.392 3.532
angles (deg): 90.00 90.00 90.00
Positions (direct):
Li (0.115, 0.385, 0.000)
Li (0.385, 0.885, 0.000)
Li (0.615, 0.115, 0.000)
Li (0.885, 0.615, 0.000)
Ca (0.000, 0.000, 0.000)
Ca (0.500, 0.500, 0.000)
Bi (0.179, 0.679, 0.500)
Bi (0.321, 0.179, 0.500)
Bi (0.679, 0.821, 0.500)
Bi (0.821, 0.321, 0.500)

Results
Polymorph energy (0 for the lowest one) (meV/atom): 38
Mass density (g/cm³): 6.30
Space-group type: P4/mbm (127)
Density of states at the Fermi level (states/eV per cell): 3.3
Energy relative to the elements (eV per atom): -0.5325
Crystal system: tetragonal
V (Å³ per cell): 249

First-principles (PBE) data for crystalline RbSi2AsO6 at its relaxed geometry, as listed in Alexandria.

a b c (Å): 7.336 7.336 5.535
angles (deg): 101.07 101.07 87.36
Positions (direct):
Rb (0.101, 0.899, 0.750)
Rb (0.899, 0.101, 0.250)
Si (0.163, 0.349, 0.810)
Si (0.349, 0.163, 0.310)
Si (0.651, 0.837, 0.690)
Si (0.837, 0.651, 0.190)
As (0.305, 0.695, 0.250)
As (0.695, 0.305, 0.750)
O (0.060, 0.705, 0.290)
O (0.205, 0.567, 0.875)
O (0.239, 0.253, 0.063)
O (0.253, 0.239, 0.563)
O (0.295, 0.940, 0.210)
O (0.433, 0.795, 0.625)
O (0.567, 0.205, 0.375)
O (0.705, 0.060, 0.790)
O (0.747, 0.761, 0.437)
O (0.761, 0.747, 0.937)
O (0.795, 0.433, 0.125)
O (0.940, 0.295, 0.710)

Results
Mass density (g/cm³): 3.62
Space-group type: C2/c (15)
E_form (uncorrected) (eV/atom): -2.116
Density of states at the Fermi level (states/eV per cell): 0.0
Crystal system: monoclinic
V (Å³ per cell): 287

First-principles (PBE) data for crystalline TaCoPt2 at its relaxed geometry, as listed in Alexandria.

a b c (Å): 4.451 5.467 4.873
angles (deg): 90.00 90.00 90.00
Positions (direct):
Ta (0.250, 0.250, 0.154)
Ta (0.750, 0.750, 0.846)
Co (0.250, 0.750, 0.169)
Co (0.750, 0.250, 0.831)
Pt (0.250, 0.002, 0.674)
Pt (0.250, 0.498, 0.674)
Pt (0.750, 0.502, 0.326)
Pt (0.750, 0.998, 0.326)

Results
Polymorph energy (0 for the lowest one) (meV/atom): 0
Mass density (g/cm³): 17.65
Space-group type: Pmmn (59)
Density of states at the Fermi level (states/eV per cell): 7.4
Energy relative to the elements (eV per atom): -0.5956
Crystal system: orthorhombic
V (Å³ per cell): 119

First-principles (PBE) data for crystalline YTa2Os2 at its relaxed geometry, as listed in Alexandria.

a b c (Å): 4.371 4.371 10.778
angles (deg): 90.00 90.00 90.00
Positions (direct):
Y (0.000, 0.000, 0.000)
Y (0.500, 0.500, 0.500)
Ta (0.000, 0.500, 0.250)
Ta (0.000, 0.500, 0.750)
Ta (0.500, 0.000, 0.250)
Ta (0.500, 0.000, 0.750)
Os (0.000, 0.000, 0.382)
Os (0.000, 0.000, 0.618)
Os (0.500, 0.500, 0.118)
Os (0.500, 0.500, 0.882)

Results
Polymorph energy (0 for the lowest one) (meV/atom): 0
Mass density (g/cm³): 13.41
Space-group type: I4/mmm (139)
Density of states at the Fermi level (states/eV per cell): 6.3
Energy relative to the elements (eV per atom): -0.3154
Crystal system: tetragonal
V (Å³ per cell): 206

First-principles (PBE) data for crystalline Ag4SBr3 at its relaxed geometry, as listed in Alexandria.

a b c (Å): 5.036 12.089 6.773
angles (deg): 90.00 90.00 90.00
Positions (direct):
Ag (0.250, 0.100, 0.086)
Ag (0.250, 0.250, 0.707)
Ag (0.250, 0.400, 0.086)
Ag (0.250, 0.750, 0.721)
Ag (0.750, 0.250, 0.279)
Ag (0.750, 0.600, 0.914)
Ag (0.750, 0.750, 0.293)
Ag (0.750, 0.900, 0.914)
S (0.250, 0.250, 0.329)
S (0.750, 0.750, 0.671)
Br (0.250, 0.502, 0.745)
Br (0.250, 0.750, 0.164)
Br (0.250, 0.998, 0.745)
Br (0.750, 0.002, 0.255)
Br (0.750, 0.250, 0.836)
Br (0.750, 0.498, 0.255)

Results
Polymorph energy (0 for the lowest one) (meV/atom): 3
Mass density (g/cm³): 5.66
Space-group type: Pmmn (59)
E_form (uncorrected) (eV/atom): -0.160
Density of states at the Fermi level (states/eV per cell): 14.3
Crystal system: orthorhombic
V (Å³ per cell): 412

First-principles (PBE) data for crystalline Pm2SeNCl at its relaxed geometry, as listed in Alexandria.

a b c (Å): 8.019 8.019 10.500
angles (deg): 125.24 125.24 28.98
Positions (direct):
Pm (0.101, 0.101, 0.357)
Pm (0.372, 0.372, 0.314)
Pm (0.628, 0.628, 0.686)
Pm (0.899, 0.899, 0.643)
Se (0.277, 0.277, 0.705)
Se (0.723, 0.723, 0.295)
N (0.446, 0.446, 0.580)
N (0.554, 0.554, 0.420)
Cl (0.124, 0.124, 0.884)
Cl (0.876, 0.876, 0.116)

Results
Mass density (g/cm³): 5.29
Space-group type: C2/m (12)
E_form (uncorrected) (eV/atom): -1.869
Crystal system: monoclinic
V (Å³ per cell): 263

First-principles (PBE) data for crystalline BaB4Os4 at its relaxed geometry, as listed in Alexandria.

a b c (Å): 7.802 7.802 3.990
angles (deg): 90.00 90.00 90.00
Positions (direct):
Ba (0.250, 0.250, 0.250)
Ba (0.750, 0.750, 0.750)
B (0.032, 0.916, 0.142)
B (0.084, 0.532, 0.642)
B (0.416, 0.968, 0.642)
B (0.468, 0.584, 0.142)
B (0.532, 0.416, 0.858)
B (0.584, 0.032, 0.358)
B (0.916, 0.468, 0.358)
B (0.968, 0.084, 0.858)
Os (0.105, 0.645, 0.142)
Os (0.145, 0.895, 0.642)
Os (0.355, 0.605, 0.642)
Os (0.395, 0.855, 0.142)
Os (0.605, 0.145, 0.858)
Os (0.645, 0.395, 0.358)
Os (0.855, 0.105, 0.358)
Os (0.895, 0.355, 0.858)

Results
Mass density (g/cm³): 12.87
Space-group type: P4_2/n (86)
Density of states at the Fermi level (states/eV per cell): 11.8
Energy relative to the elements (eV per atom): -0.1415
Crystal system: tetragonal
V (Å³ per cell): 243

First-principles (PBE) data for crystalline AcCu3Pd2 at its relaxed geometry, as listed in Alexandria.

a b c (Å): 5.317 5.317 4.354
angles (deg): 90.00 90.00 120.00
Positions (direct):
Ac (0.000, 0.000, 0.000)
Cu (0.000, 0.500, 0.500)
Cu (0.500, 0.000, 0.500)
Cu (0.500, 0.500, 0.500)
Pd (0.333, 0.667, 0.000)
Pd (0.667, 0.333, 0.000)

Results
Mass density (g/cm³): 9.82
Space-group type: P6/mmm (191)
Density of states at the Fermi level (states/eV per cell): 1.4
Energy relative to the elements (eV per atom): -0.4220
Crystal system: hexagonal
V (Å³ per cell): 107

First-principles (PBE) data for crystalline Sm3Zn2Pd4 at its relaxed geometry, as listed in Alexandria.

a b c (Å): 5.917 5.917 8.733
angles (deg): 112.91 112.91 43.01
Positions (direct):
Sm (0.000, 0.000, 0.000)
Sm (0.358, 0.358, 0.309)
Sm (0.642, 0.642, 0.691)
Zn (0.342, 0.342, 0.674)
Zn (0.658, 0.658, 0.326)
Pd (0.082, 0.082, 0.413)
Pd (0.288, 0.288, 0.932)
Pd (0.712, 0.712, 0.068)
Pd (0.918, 0.918, 0.587)

Results
Polymorph energy (0 for the lowest one) (meV/atom): 0
Mass density (g/cm³): 8.83
Space-group type: C2/m (12)
Density of states at the Fermi level (states/eV per cell): 5.8
Energy relative to the elements (eV per atom): -0.7321
Crystal system: monoclinic
V (Å³ per cell): 189

First-principles (PBE) data for crystalline Pu2GaSe6 at its relaxed geometry, as listed in Alexandria.

a b c (Å): 6.392 6.392 12.512
angles (deg): 90.00 90.00 90.00
Positions (direct):
Pu (0.000, 0.000, 0.167)
Pu (0.000, 0.000, 0.833)
Pu (0.500, 0.500, 0.333)
Pu (0.500, 0.500, 0.667)
Ga (0.000, 0.000, 0.500)
Ga (0.500, 0.500, 0.000)
Se (0.192, 0.192, 0.344)
Se (0.192, 0.192, 0.656)
Se (0.202, 0.202, 0.000)
Se (0.298, 0.702, 0.500)
Se (0.308, 0.692, 0.156)
Se (0.308, 0.692, 0.844)
Se (0.692, 0.308, 0.156)
Se (0.692, 0.308, 0.844)
Se (0.702, 0.298, 0.500)
Se (0.798, 0.798, 0.000)
Se (0.808, 0.808, 0.344)
Se (0.808, 0.808, 0.656)

Results
Mass density (g/cm³): 6.70
Space-group type: P4_2/mnm (136)
E_form (uncorrected) (eV/atom): -0.757
Density of states at the Fermi level (states/eV per cell): 36.8
Crystal system: tetragonal
V (Å³ per cell): 511

First-principles (PBE) data for crystalline LiNbB2 at its relaxed geometry, as listed in Alexandria.

a b c (Å): 5.494 5.494 5.494
angles (deg): 90.00 90.00 90.00
Positions (direct):
Li (0.000, 0.000, 0.000)
Li (0.000, 0.500, 0.500)
Li (0.500, 0.000, 0.500)
Li (0.500, 0.500, 0.000)
Nb (0.000, 0.000, 0.500)
Nb (0.000, 0.500, 0.000)
Nb (0.500, 0.000, 0.000)
Nb (0.500, 0.500, 0.500)
B (0.250, 0.250, 0.250)
B (0.250, 0.250, 0.750)
B (0.250, 0.750, 0.250)
B (0.250, 0.750, 0.750)
B (0.750, 0.250, 0.250)
B (0.750, 0.250, 0.750)
B (0.750, 0.750, 0.250)
B (0.750, 0.750, 0.750)

Results
Polymorph energy (0 for the lowest one) (meV/atom): 0
Mass density (g/cm³): 4.87
Space-group type: Fm-3m (225)
Density of states at the Fermi level (states/eV per cell): 9.7
Energy relative to the elements (eV per atom): 0.4055
Crystal system: cubic
V (Å³ per cell): 166

First-principles (PBE) data for crystalline CuSn2HgF at its relaxed geometry, as listed in Alexandria.

a b c (Å): 4.767 4.767 5.188
angles (deg): 90.00 90.00 90.00
Positions (direct):
Cu (0.000, 0.000, 0.000)
Sn (0.000, 0.500, 0.500)
Sn (0.500, 0.000, 0.500)
Hg (0.500, 0.500, 0.000)
F (0.500, 0.500, 0.500)

Results
Mass density (g/cm³): 7.33
Space-group type: P4/mmm (123)
E_form (uncorrected) (eV/atom): -0.054
Density of states at the Fermi level (states/eV per cell): 2.3
Crystal system: tetragonal
V (Å³ per cell): 118

First-principles (PBE) data for crystalline AcCoNiGe2 at its relaxed geometry, as listed in Alexandria.

a b c (Å): 4.235 4.235 10.416
angles (deg): 90.00 90.00 90.00
Positions (direct):
Ac (0.000, 0.000, 0.000)
Ac (0.500, 0.500, 0.500)
Co (0.000, 0.500, 0.250)
Co (0.500, 0.000, 0.750)
Ni (0.000, 0.500, 0.750)
Ni (0.500, 0.000, 0.250)
Ge (0.000, 0.000, 0.359)
Ge (0.000, 0.000, 0.641)
Ge (0.500, 0.500, 0.141)
Ge (0.500, 0.500, 0.859)

Results
Mass density (g/cm³): 8.71
Space-group type: I-4m2 (119)
Density of states at the Fermi level (states/eV per cell): 9.6
Energy relative to the elements (eV per atom): -0.5544
Crystal system: tetragonal
V (Å³ per cell): 187

First-principles (PBE) data for crystalline FeAsOs3 at its relaxed geometry, as listed in Alexandria.

a b c (Å): 4.431 4.431 4.431
angles (deg): 90.00 90.00 90.00
Positions (direct):
Fe (0.000, 0.000, 0.000)
As (0.500, 0.500, 0.500)
Os (0.000, 0.000, 0.500)
Os (0.000, 0.500, 0.000)
Os (0.500, 0.000, 0.000)

Results
Polymorph energy (0 for the lowest one) (meV/atom): 0
Mass density (g/cm³): 13.39
Space-group type: Pm-3m (221)
Density of states at the Fermi level (states/eV per cell): 5.4
Energy relative to the elements (eV per atom): 1.8114
Crystal system: cubic
V (Å³ per cell): 87

First-principles (PBE) data for crystalline Ga2Ni7Sb at its relaxed geometry, as listed in Alexandria.

a b c (Å): 9.589 9.589 9.589
angles (deg): 157.04 157.04 32.69
Positions (direct):
Ga (0.174, 0.174, 0.000)
Ga (0.826, 0.826, 0.000)
Ni (0.000, 0.000, 0.000)
Ni (0.096, 0.596, 0.500)
Ni (0.250, 0.750, 0.500)
Ni (0.404, 0.904, 0.500)
Ni (0.596, 0.096, 0.500)
Ni (0.750, 0.250, 0.500)
Ni (0.904, 0.404, 0.500)
Sb (0.500, 0.500, 0.000)

Results
Mass density (g/cm³): 8.33
Space-group type: I4/mmm (139)
E_form (uncorrected) (eV/atom): -0.114
Density of states at the Fermi level (states/eV per cell): 3.7
Crystal system: tetragonal
V (Å³ per cell): 134

First-principles (PBE) data for crystalline Ti3CoH at its relaxed geometry, as listed in Alexandria.

a b c (Å): 3.964 3.964 3.964
angles (deg): 90.00 90.00 90.00
Positions (direct):
Ti (0.000, 0.000, 0.500)
Ti (0.000, 0.500, 0.000)
Ti (0.500, 0.000, 0.000)
Co (0.500, 0.500, 0.500)
H (0.000, 0.000, 0.000)

Results
Polymorph energy (0 for the lowest one) (meV/atom): 61
Mass density (g/cm³): 5.43
Space-group type: Pm-3m (221)
Density of states at the Fermi level (states/eV per cell): 7.6
Crystal system: cubic
V (Å³ per cell): 62

First-principles (PBE) data for crystalline Ba2ErCdHg6 at its relaxed geometry, as listed in Alexandria.

a b c (Å): 7.985 7.985 7.985
angles (deg): 60.00 60.00 60.00
Positions (direct):
Ba (0.250, 0.250, 0.250)
Ba (0.750, 0.750, 0.750)
Er (0.000, 0.000, 0.000)
Cd (0.500, 0.500, 0.500)
Hg (0.253, 0.253, 0.747)
Hg (0.253, 0.747, 0.253)
Hg (0.253, 0.747, 0.747)
Hg (0.747, 0.253, 0.253)
Hg (0.747, 0.253, 0.747)
Hg (0.747, 0.747, 0.253)

Results
Mass density (g/cm³): 8.11
Space-group type: Fm-3m (225)
Density of states at the Fermi level (states/eV per cell): 10.8
Energy relative to the elements (eV per atom): -0.2114
Crystal system: cubic
V (Å³ per cell): 360